First-principles (PBEsol) data for a geometry-optimized TcOs2Au structure, as listed in Alexandria.

Values from the calculation:
V in Å³ per cell: 58.62
ΔH_f (0 K) in kJ/mol of atoms: 31.95

Cell: 2.7345 2.7345 7.8396 Å, 90.00 90.00 90.00°
Closest atoms and distances in Å follow each position.
Space group P4/mmm (No. 123)
Inequivalent atoms, fractional coordinates:
Tc1 0.0000 0.0000 0.0000 (multiplicity 1)  8 Os 2.66, 4 Tc 2.73
Os1 0.5000 0.5000 0.2336 (multiplicity 2)  4 Tc 2.66, 4 Os 2.73, 4 Au 2.85
Au1 0.0000 0.0000 0.5000 (multiplicity 1)  4 Au 2.73, 8 Os 2.85

First-principles (PBEsol) data for a geometry-optimized TiBSN2 structure, as listed in Alexandria.

Values from the calculation:
V in Å³ per cell: 70.54
Formation energy from raw total energies in eV per formula unit: 5.30

Cell: 3.7043 3.7043 5.1404 Å, 90.00 90.00 90.00°
Closest atoms and distances in Å follow each position.
Space group P4/mmm (No. 123)
Inequivalent atoms, fractional coordinates:
Ti1 0.0000 0.0000 0.0000 (multiplicity 1)  4 N 1.85
B1 0.5000 0.5000 0.5000 (multiplicity 1)  4 S 2.62
S1 0.0000 0.0000 0.5000 (multiplicity 1)  2 Ti 2.57, 4 B 2.62
N1 0.0000 0.5000 0.0000 (multiplicity 2)  2 Ti 1.85

First-principles (PBEsol) data for a geometry-optimized TaIn2W structure, as listed in Alexandria.

Values from the calculation:
V in Å³ per cell: 146.72
ΔH_f (0 K) in kJ/mol of atoms: 39.65

Cell: 3.4594 4.6006 9.2185 Å, 90.00 90.00 90.00°
Closest atoms and distances in Å follow each position.
Space group Immm (No. 71)
Inequivalent atoms, fractional coordinates:
Ta1 0.0000 0.0000 0.0000 (multiplicity 2)  4 W 2.88, 4 In 2.91
In1 0.0000 0.5000 0.2458 (multiplicity 4)  2 W 2.85, 4 In 2.88, 2 Ta 2.91
W1 0.0000 0.0000 0.5000 (multiplicity 2)  4 In 2.85, 4 Ta 2.88

| no. | relative energy among the computed polymorphs (eV/f.u.) |
| --- | --- |
| 1 | 0.000 |
| 2 | 3.148 |
| 3 | 0.302 |